This record from Alexandria describes a relaxed Sm5PdS4 crystal. The functional is PBE.

Theoretical density, kg/m³: 6989
Total magnetic moment, Bohr magnetons per cell: 0.0
Formation energy without anion corrections, eV per atom: -1.754
DFT total energy, eV per cell: -125.7

Geometry as CIF:
```
data_Sm5PdS4
_cell_length_a 13.594
_cell_length_b 3.983
_cell_length_c 9.991
_cell_angle_alpha 90.00
_cell_angle_beta 119.95
_cell_angle_gamma 90.00
_space_group_name_H-M_alt 'C 1 2/m 1'
_space_group_IT_number 12
loop_
_space_group_symop_operation_xyz
'x,y,z'
'-x,-y,-z'
'-x,y,-z'
'x,-y,z'
'x+1/2,y+1/2,z'
'-x+1/2,-y+1/2,-z'
'-x+1/2,y+1/2,-z'
'x+1/2,-y+1/2,z'
loop_
_atom_site_label
_atom_site_type_symbol
_atom_site_fract_x
_atom_site_fract_y
_atom_site_fract_z
Sm1 Sm 0.000 0.000 0.000
Sm2 Sm 0.102 0.500 0.398
Sm3 Sm 0.203 0.000 0.807
Pd1 Pd 0.000 0.000 0.500
S1 S 0.099 0.500 0.901
S2 S 0.201 0.000 0.298
```